# 1
Ti4Zn3Pd3: relaxed, PBE-GGA.

Calculated values
Energy of formation ... -0.255 eV per atom
DOS(E_F) ... 42.8 states/eV per cell
Calculated total energy ... -5.35 eV/atom

Cell lengths 8.676, 8.676, 8.676 Å; angles 90.00, 90.00, 90.00 degrees
Space group I-43d (No. 220)
Asymmetric unit:
Ti 0.116 0.384 0.616 x16
Zn 0.000 0.250 0.875 x12
Pd 0.000 0.250 0.375 x12

# 2
LiPuMg2S4: relaxed, PBE-GGA.

Calculated values
Uncorrected formation energy ... -1444.9 meV per atom
DOS(E_F) ... 12.1 states/eV per cell
Calculated total energy ... -5.94 eV/atom

Cell lengths 6.493, 3.847, 6.563 Å; angles 90.00, 108.82, 90.00 degrees
Space group P2/m (No. 10)
Asymmetric unit:
Li 0.000 0.000 0.000 x1
Pu 0.500 0.500 0.000 x1
Mg 0.000 0.500 0.500 x1
Mg 0.500 0.000 0.500 x1
S 0.240 0.000 0.741 x2
S 0.253 0.500 0.267 x2

# 3
CdCoBr2: relaxed, PBE-GGA.

Calculated values
Uncorrected formation energy ... 36.9 meV per atom
Energy above the lowest structure with this stoichiometry ... 162 meV/atom
DOS(E_F) ... 7.8 states/eV per cell
Calculated total energy ... -2.80 eV/atom

Cell lengths 3.759, 6.307, 9.058 Å; angles 90.00, 90.00, 90.00 degrees
Space group Cmm2 (No. 35)
Asymmetric unit:
Cd 0.000 0.000 0.000 x2
Co 0.000 0.500 0.223 x2
Br 0.000 0.000 0.382 x2
Br 0.000 0.500 0.789 x2

# 4
Ir4Pt5: relaxed, PBE-GGA.

Calculated values
Energy of formation ... 0.061 eV per atom
DOS(E_F) ... 30.0 states/eV per cell
Calculated total energy ... -7.23 eV/atom

Cell lengths 8.351, 8.351, 3.920 Å; angles 90.00, 90.00, 90.00 degrees
Space group I4/mmm (No. 139)
Asymmetric unit:
Ir 0.000 0.342 0.000 x8
Pt 0.000 0.000 0.000 x2
Pt 0.168 0.168 0.500 x8

# 5
YSeCl: relaxed, PBE-GGA.

Calculated values
Uncorrected formation energy ... -1918.7 meV per atom
DOS(E_F) ... 0.0 states/eV per cell
Calculated total energy ... -5.85 eV/atom

Cell lengths 6.786, 6.786, 6.786 Å; angles 90.00, 90.00, 90.00 degrees
Space group F-43m (No. 216)
Asymmetric unit:
Y 0.000 0.000 0.000 x4
Se 0.250 0.250 0.750 x4
Cl 0.250 0.250 0.250 x4

# 6
Sm3Zn3Hg: relaxed, PBE-GGA.

Calculated values
Energy of formation ... -0.320 eV per atom
DOS(E_F) ... 14.1 states/eV per cell
Calculated total energy ... -2.93 eV/atom

Cell lengths 3.637, 4.607, 20.136 Å; angles 90.00, 90.00, 90.00 degrees
Space group Imm2 (No. 44)
Asymmetric unit:
Sm 0.000 0.000 0.000 x2
Sm 0.000 0.000 0.389 x2
Sm 0.000 0.500 0.187 x2
Zn 0.000 0.000 0.554 x2
Zn 0.000 0.000 0.837 x2
Zn 0.000 0.500 0.623 x2
Hg 0.000 0.500 0.758 x2

# 7
Ac3Pr2Hg3: relaxed, PBE-GGA.

Calculated values
Energy of formation ... -0.356 eV per atom
DOS(E_F) ... 17.9 states/eV per cell
Calculated total energy ... -3.21 eV/atom

Cell lengths 3.993, 5.768, 23.620 Å; angles 90.00, 90.00, 90.00 degrees
Space group Immm (No. 71)
Asymmetric unit:
Ac 0.000 0.000 0.000 x2
Ac 0.000 0.500 0.121 x4
Pr 0.000 0.000 0.234 x4
Hg 0.000 0.000 0.500 x2
Hg 0.000 0.500 0.376 x4